# PBE UInBi, relaxed
data_UInBi
_cell_length_a 5.4905
_cell_length_b 5.4905
_cell_length_c 3.1402
_cell_angle_alpha 90.00
_cell_angle_beta 90.00
_cell_angle_gamma 120.00
_space_group_name_H-M_alt 'P -6 m 2'
_space_group_IT_number 187
_space_group_name_Hall 'P -6 2'
loop_
_atom_site_label
_atom_site_fract_x
_atom_site_fract_y
_atom_site_fract_z
U1 0.0000 0.0000 0.0000
In1 0.6667 0.3333 0.5000
Bi1 0.3333 0.6667 0.5000
# ΔE_f	215.1	meV per atom
# calculated density	11.38	g cm⁻³
# energy	-17.26	eV for the cell shown

=====

# PBE CaGdZnGa, relaxed
data_CaGdZnGa
_cell_length_a 7.266
_cell_length_b 7.266
_cell_length_c 7.266
_cell_angle_alpha 90.00
_cell_angle_beta 90.00
_cell_angle_gamma 90.00
_space_group_name_H-M_alt 'F -4 3 m'
_space_group_IT_number 216
_space_group_name_Hall 'F -4 2 3'
loop_
_atom_site_label
_atom_site_fract_x
_atom_site_fract_y
_atom_site_fract_z
Ca1 0.000 0.000 0.000
Gd1 0.000 0.000 0.500
Zn1 0.250 0.250 0.250
Ga1 0.250 0.250 0.750
# ΔE_f	-425.9	meV per atom
# calculated density	5.76	g cm⁻³
# energy	-88.35	eV for the cell shown

=====

# PBE Sm5Bi2Ru, relaxed
data_Sm5Bi2Ru
_cell_length_a 7.548
_cell_length_b 7.548
_cell_length_c 8.546
_cell_angle_alpha 90.00
_cell_angle_beta 90.00
_cell_angle_gamma 90.00
_space_group_name_H-M_alt 'I 4 m m'
_space_group_IT_number 107
_space_group_name_Hall 'I 4 -2'
loop_
_atom_site_label
_atom_site_fract_x
_atom_site_fract_y
_atom_site_fract_z
Sm1 0.000 0.000 0.000
Sm2 0.248 0.248 0.261
Bi1 0.000 0.500 0.013
Ru1 0.000 0.000 0.676
# ΔE_f	-319.0	meV per atom
# calculated density	8.67	g cm⁻³
# energy	-86.37	eV for the cell shown

=====

# PBE RbHfTl, relaxed
data_RbHfTl
_cell_length_a 7.357
_cell_length_b 7.357
_cell_length_c 7.357
_cell_angle_alpha 90.00
_cell_angle_beta 90.00
_cell_angle_gamma 90.00
_space_group_name_H-M_alt 'F -4 3 m'
_space_group_IT_number 216
_space_group_name_Hall 'F -4 2 3'
loop_
_atom_site_label
_atom_site_fract_x
_atom_site_fract_y
_atom_site_fract_z
Rb1 0.000 0.000 0.000
Hf1 0.250 0.250 0.750
Tl1 0.000 0.000 0.500
# ΔE_f	1151.9	meV per atom
# calculated density	7.81	g cm⁻³
# energy	-39.33	eV for the cell shown

=====

# PBE Pr6NdDy4, relaxed
data_Pr6NdDy4
_cell_length_a 6.622
_cell_length_b 6.622
_cell_length_c 17.774
_cell_angle_alpha 90.00
_cell_angle_beta 90.00
_cell_angle_gamma 90.00
_space_group_name_H-M_alt 'I -4 2 m'
_space_group_IT_number 121
_space_group_name_Hall 'I -4 2'
loop_
_atom_site_label
_atom_site_fract_x
_atom_site_fract_y
_atom_site_fract_z
Pr1 0.000 0.500 0.000
Pr2 0.179 0.179 0.364
Nd1 0.000 0.000 0.000
Dy1 0.185 0.185 0.176
# ΔE_f	286.4	meV per atom
# calculated density	6.99	g cm⁻³
# energy	-97.41	eV for the cell shown

=====

# PBE InSbPb, relaxed
data_InSbPb
_cell_length_a 5.7507
_cell_length_b 5.7507
_cell_length_c 6.3184
_cell_angle_alpha 90.00
_cell_angle_beta 90.00
_cell_angle_gamma 120.00
_space_group_name_H-M_alt 'P 63/m m c'
_space_group_IT_number 194
_space_group_name_Hall '-P 6c 2c'
loop_
_atom_site_label
_atom_site_fract_x
_atom_site_fract_y
_atom_site_fract_z
In1 0.0000 0.0000 0.2500
Sb1 0.3333 0.6667 0.2500
Pb1 0.3333 0.6667 0.7500
# calculated density	8.14	g cm⁻³
# energy	-20.80	eV for the cell shown

=====

# PBE La2PmZrAs4, relaxed
data_La2PmZrAs4
_cell_length_a 7.263
_cell_length_b 4.190
_cell_length_c 7.296
_cell_angle_alpha 90.00
_cell_angle_beta 109.19
_cell_angle_gamma 90.00
_space_group_name_H-M_alt 'P 1 2/m 1'
_space_group_IT_number 10
_space_group_name_Hall '-P 2y'
loop_
_atom_site_label
_atom_site_fract_x
_atom_site_fract_y
_atom_site_fract_z
La1 0.000 0.000 0.000
La2 0.500 0.500 0.000
Pm1 0.000 0.500 0.500
Zr1 0.500 0.000 0.500
As1 0.257 0.000 0.735
As2 0.268 0.500 0.272
# ΔE_f	-1432.3	meV per atom
# calculated density	6.44	g cm⁻³
# energy	-53.21	eV for the cell shown

=====

# PBE Zn6Ga12Tc, relaxed
data_Zn6Ga12Tc
_cell_length_a 8.9114
_cell_length_b 8.9114
_cell_length_c 14.6619
_cell_angle_alpha 90.00
_cell_angle_beta 90.00
_cell_angle_gamma 120.00
_space_group_name_H-M_alt 'R -3'
_space_group_IT_number 148
_space_group_name_Hall '-R 3'
loop_
_atom_site_label
_atom_site_fract_x
_atom_site_fract_y
_atom_site_fract_z
Zn1 0.0171 0.4704 0.3489
Ga1 0.0075 0.1860 0.8511
Ga2 0.0904 0.2159 0.4187
Tc1 0.0000 0.0000 0.0000
# ΔE_f	11.4	meV per atom
# calculated density	6.56	g cm⁻³
# energy	-162.35	eV for the cell shown

=====

# PBE Ba2CrSiPt, relaxed
data_Ba2CrSiPt
_cell_length_a 6.359
_cell_length_b 6.359
_cell_length_c 4.488
_cell_angle_alpha 90.00
_cell_angle_beta 90.00
_cell_angle_gamma 90.00
_space_group_name_H-M_alt 'P 4/m m m'
_space_group_IT_number 123
_space_group_name_Hall '-P 4 2'
loop_
_atom_site_label
_atom_site_fract_x
_atom_site_fract_y
_atom_site_fract_z
Ba1 0.000 0.500 0.000
Cr1 0.000 0.000 0.500
Si1 0.500 0.500 0.000
Pt1 0.500 0.500 0.500
# calculated density	5.03	g cm⁻³
# energy	-24.32	eV for the cell shown

=====

# PBE Ga2PCl, relaxed
data_Ga2PCl
_cell_length_a 6.704
_cell_length_b 6.704
_cell_length_c 6.704
_cell_angle_alpha 90.00
_cell_angle_beta 90.00
_cell_angle_gamma 90.00
_space_group_name_H-M_alt 'F m -3 m'
_space_group_IT_number 225
_space_group_name_Hall '-F 4 2 3'
loop_
_atom_site_label
_atom_site_fract_x
_atom_site_fract_y
_atom_site_fract_z
Ga1 0.250 0.250 0.250
P1 0.000 0.000 0.000
Cl1 0.000 0.000 0.500
# calculated density	4.54	g cm⁻³
# energy	-53.44	eV for the cell shown

=====

# PBE CsTc2S2, relaxed
data_CsTc2S2
_cell_length_a 4.729
_cell_length_b 4.729
_cell_length_c 8.935
_cell_angle_alpha 90.00
_cell_angle_beta 90.00
_cell_angle_gamma 90.00
_space_group_name_H-M_alt 'I 4/m m m'
_space_group_IT_number 139
_space_group_name_Hall '-I 4 2'
loop_
_atom_site_label
_atom_site_fract_x
_atom_site_fract_y
_atom_site_fract_z
Cs1 0.000 0.000 0.000
Tc1 0.000 0.000 0.374
S1 0.000 0.500 0.250
# calculated density	6.53	g cm⁻³
# energy	-58.06	eV for the cell shown

=====

# PBE TiNbAl4, relaxed
data_TiNbAl4
_cell_length_a 7.266
_cell_length_b 7.266
_cell_length_c 7.266
_cell_angle_alpha 90.00
_cell_angle_beta 90.00
_cell_angle_gamma 90.00
_space_group_name_H-M_alt 'F -4 3 m'
_space_group_IT_number 216
_space_group_name_Hall 'F -4 2 3'
loop_
_atom_site_label
_atom_site_fract_x
_atom_site_fract_y
_atom_site_fract_z
Ti1 0.000 0.000 0.000
Nb1 0.250 0.250 0.250
Al1 0.125 0.125 0.625
# ΔE_f	-324.3	meV per atom
# calculated density	4.31	g cm⁻³
# energy	-139.52	eV for the cell shown